(1)
VASP calculation (PBE) on crystalline KPuTiO5 at its relaxed geometry.

Properties
calculated volume: 264.52 Å³ per cell
SG: C2/c (15)
formation energy (no corrections): -21.9 eV/f.u.

POSCAR file:
```
KPuTiO5
1.0
6.168 0.090 -0.068
-1.714 5.925 -0.068
-1.932 -2.610 7.266
K Pu Ti O
2 2 2 10
direct
0.332 0.668 0.250 K
0.668 0.332 0.750 K
0.000 0.000 0.500 Pu
0.000 0.000 0.000 Pu
0.688 0.312 0.250 Ti
0.312 0.688 0.750 Ti
0.062 0.938 0.250 O
0.938 0.062 0.750 O
0.884 0.290 0.109 O
0.116 0.710 0.891 O
0.710 0.116 0.391 O
0.290 0.884 0.609 O
0.770 0.623 0.397 O
0.230 0.377 0.603 O
0.377 0.230 0.103 O
0.623 0.770 0.897 O
```



(2)
VASP calculation (PBE) on crystalline Ac3Sn2SbAu6 at its relaxed geometry.

Properties
calculated volume: 328.65 Å³ per cell
SG: P-3m1 (164)
formation energy (no corrections): -6.6 eV/f.u.

POSCAR file:
```
Ac3Sn2SbAu6
1.0
-6.254 1.536 -1.053
2.958 -4.415 -3.787
-2.530 -6.476 5.575
Ac Sn Sb Au
3 2 1 6
direct
0.333 0.667 0.638 Ac
0.667 0.333 0.362 Ac
0.000 0.000 0.000 Ac
0.667 0.333 0.967 Sn
0.333 0.667 0.033 Sn
0.000 0.000 0.500 Sb
0.637 0.819 0.284 Au
0.181 0.363 0.284 Au
0.181 0.819 0.284 Au
0.819 0.637 0.716 Au
0.363 0.181 0.716 Au
0.819 0.181 0.716 Au
```



(3)
VASP calculation (PBE) on crystalline FeHgW2 at its relaxed geometry.

Properties
calculated volume: 64.72 Å³ per cell
SG: Imm2 (44)
E_form: 0.634 eV/atom

POSCAR file:
```
FeHgW2
1.0
5.148 -0.029 -0.036
2.114 4.693 0.036
-3.148 -3.084 2.661
Fe Hg W
1 1 2
direct
0.512 0.512 0.000 Fe
0.261 0.761 0.500 Hg
0.984 0.984 0.000 W
0.743 0.243 0.500 W
```



(4)
VASP calculation (PBE) on crystalline La5Y2Er2 at its relaxed geometry.

Properties
calculated volume: 310.41 Å³ per cell
SG: C2/m (12)
E_form: 0.027 eV/atom

POSCAR file:
```
La5Y2Er2
1.0
-2.025 1.057 -5.934
0.383 -3.298 1.544
-16.013 -2.046 3.965
La Y Er
5 2 2
direct
0.443 0.886 0.115 La
0.557 0.114 0.885 La
0.222 0.445 0.555 La
0.778 0.555 0.445 La
0.000 0.000 0.000 La
0.666 0.331 0.669 Y
0.334 0.669 0.331 Y
0.113 0.225 0.774 Er
0.887 0.775 0.226 Er
```



(5)
VASP calculation (PBE) on crystalline ThCo6H12 at its relaxed geometry.

Properties
calculated volume: 129.87 Å³ per cell
SG: R-3 (148)

POSCAR file:
```
ThCo6H12
1.0
-3.105 2.768 -3.481
-0.893 -5.286 -0.824
-1.664 1.199 5.021
Th Co H
1 6 12
direct
0.000 0.000 0.000 Th
0.196 0.278 0.620 Co
0.722 0.380 0.804 Co
0.380 0.804 0.722 Co
0.804 0.722 0.380 Co
0.278 0.620 0.196 Co
0.620 0.196 0.278 Co
0.426 0.185 0.484 H
0.185 0.484 0.426 H
0.484 0.426 0.185 H
0.574 0.815 0.516 H
0.815 0.516 0.574 H
0.516 0.574 0.815 H
0.150 0.955 0.624 H
0.376 0.850 0.045 H
0.045 0.376 0.850 H
0.850 0.045 0.376 H
0.624 0.150 0.955 H
0.955 0.624 0.150 H
```



(6)
VASP calculation (PBE) on crystalline Pu2GeIr2 at its relaxed geometry.

Properties
calculated volume: 186.52 Å³ per cell
SG: C2/m (12)
E_form: -0.370 eV/atom

POSCAR file:
```
Pu2GeIr2
1.0
-2.526 -2.136 -4.407
1.778 -0.667 -5.173
2.733 -7.718 0.548
Pu Ge Ir
4 2 4
direct
0.565 0.065 0.152 Pu
0.935 0.435 0.348 Pu
0.435 0.935 0.848 Pu
0.065 0.565 0.652 Pu
0.250 0.750 0.250 Ge
0.750 0.250 0.750 Ge
0.651 0.150 0.466 Ir
0.850 0.349 0.034 Ir
0.349 0.850 0.534 Ir
0.150 0.651 0.966 Ir
```



(7)
VASP calculation (PBE) on crystalline ErZrPaN3 at its relaxed geometry.

Properties
calculated volume: 193.99 Å³ per cell
SG: P2_1/m (11)
formation energy (no corrections): -8.0 eV/f.u.

POSCAR file:
```
ErZrPaN3
1.0
3.298 0.000 0.000
0.000 6.866 0.906
0.000 -0.700 8.473
Er Zr Pa N
2 2 2 6
direct
0.250 0.612 0.146 Er
0.750 0.388 0.854 Er
0.250 0.173 0.557 Zr
0.750 0.827 0.443 Zr
0.250 0.122 0.164 Pa
0.750 0.878 0.836 Pa
0.750 0.864 0.140 N
0.250 0.136 0.860 N
0.250 0.862 0.608 N
0.750 0.138 0.392 N
0.750 0.360 0.115 N
0.250 0.640 0.885 N
```



(8)
VASP calculation (PBE) on crystalline LaSmGa at its relaxed geometry.

Properties
polymorph energy (0 for the lowest one): 23 kJ/mol of formula units
calculated volume: 88.04 Å³ per cell
SG: I4mm (107)
E_form: -0.333 eV/atom

POSCAR file:
```
LaSmGa
1.0
3.767 0.000 0.000
0.000 3.767 0.000
-1.883 -1.883 6.204
Sm Ga La
1 1 1
direct
0.306 0.306 0.612 Sm
0.673 0.673 0.346 Ga
0.021 0.021 0.042 La
```



(9)
VASP calculation (PBE) on crystalline As2Ru at its relaxed geometry.

Properties
calculated volume: 97.91 Å³ per cell
SG: P6_3/mmc (194)
E_form: 0.300 eV/atom

POSCAR file:
```
As2Ru
1.0
2.239 -3.877 0.000
2.239 3.877 0.000
0.000 0.000 5.640
As Ru
4 2
direct
0.000 0.000 0.000 As
0.000 0.000 0.500 As
0.333 0.667 0.250 As
0.667 0.333 0.750 As
0.667 0.333 0.250 Ru
0.333 0.667 0.750 Ru
```



(10)
VASP calculation (PBE) on crystalline CaZr2Cd2 at its relaxed geometry.

Properties
polymorph energy (0 for the lowest one): 0 kJ/mol of formula units
calculated volume: 248.14 Å³ per cell
SG: P4/mbm (127)
E_form: 0.036 eV/atom

POSCAR file:
```
CaZr2Cd2
1.0
-4.125 -7.476 2.208
0.309 -2.653 -8.405
2.818 -1.394 0.544
Ca Zr Cd
2 4 4
direct
0.000 0.000 0.000 Ca
0.500 0.500 0.000 Ca
0.384 0.884 0.000 Zr
0.884 0.616 0.000 Zr
0.616 0.116 0.000 Zr
0.116 0.384 0.000 Zr
0.179 0.679 0.500 Cd
0.679 0.821 0.500 Cd
0.821 0.321 0.500 Cd
0.321 0.179 0.500 Cd
```



(11)
VASP calculation (PBE) on crystalline NaNiAs2Br at its relaxed geometry.

Properties
polymorph energy (0 for the lowest one): 678 kJ/mol of formula units
calculated volume: 131.64 Å³ per cell
SG: P4/mmm (123)
formation energy (no corrections): 6.0 eV/f.u.

POSCAR file:
```
NaNiAs2Br
1.0
-4.935 -0.403 1.004
-0.428 -3.579 -3.540
1.014 -3.616 3.533
Ni As Br Na
1 2 1 1
direct
0.500 0.500 0.500 Ni
0.000 0.500 0.000 As
0.500 0.000 0.000 As
0.000 0.000 0.500 Br
0.000 0.000 0.000 Na
```



(12)
VASP calculation (PBE) on crystalline La3Pm4In at its relaxed geometry.

Properties
polymorph energy (0 for the lowest one): 3 kJ/mol of formula units
calculated volume: 535.61 Å³ per cell
SG: Pmn2_1 (31)
E_form: -0.111 eV/atom

POSCAR file:
```
La3Pm4In
1.0
-3.605 5.041 -1.396
-5.577 -3.010 3.534
3.432 5.174 9.822
La Pm In
6 8 2
direct
0.494 0.874 0.000 La
0.158 0.888 0.242 La
0.658 0.112 0.258 La
0.994 0.126 0.500 La
0.658 0.112 0.742 La
0.158 0.888 0.758 La
0.957 0.628 0.000 Pm
0.494 0.369 0.000 Pm
0.139 0.370 0.234 Pm
0.639 0.630 0.266 Pm
0.994 0.631 0.500 Pm
0.457 0.372 0.500 Pm
0.639 0.630 0.734 Pm
0.139 0.370 0.766 Pm
0.978 0.130 0.000 In
0.478 0.870 0.500 In
```



(13)
VASP calculation (PBE) on crystalline Sm3NpBi4 at its relaxed geometry.

Properties
calculated volume: 532.47 Å³ per cell
SG: P2/c (13)
E_form: -0.661 eV/atom

POSCAR file:
```
Sm3NpBi4
1.0
7.871 0.068 0.000
-2.696 7.403 0.000
0.000 0.000 9.109
Np Bi Sm
2 8 6
direct
0.750 0.000 0.875 Np
0.250 0.000 0.125 Np
0.998 0.249 0.626 Bi
0.501 0.247 0.877 Bi
0.498 0.249 0.374 Bi
0.001 0.247 0.123 Bi
0.999 0.753 0.877 Bi
0.502 0.751 0.626 Bi
0.499 0.753 0.123 Bi
0.002 0.751 0.374 Bi
0.750 0.000 0.376 Sm
0.250 0.000 0.624 Sm
0.750 0.500 0.624 Sm
0.750 0.500 0.126 Sm
0.250 0.500 0.376 Sm
0.250 0.500 0.874 Sm
```



Calculated total energy: -140.03; -50.76; -32.14; -46.45; -90.52; -105.71; -111.19; -13.67; -35.35; -41.49; -12.03; -74.83; -95.83 (eV for the cell shown)
DOS at the Fermi energy: 12.635; 7.080; 2.690; 15.127; 6.717; 20.954; 6.311; 3.490; 3.351; 10.363; 10.272; 20.233; 23.392 (states/eV/cell)